No. 1
Computed, not measured: a relaxed CsNb3Ge5 crystal at the PBE-GGA level of DFT.

Summary:
final energy: -6.028 eV/atom
theoretical density: 5.710 g/cm³

Unit cell a=5.5200 b=5.5200 c=8.5390 alpha=90.00 beta=90.00 gamma=120.00
Space group P6/mmm (No. 191)
Unique sites:
Cs1 0.0000 0.0000 0.0000
Nb1 0.0000 0.5000 0.5000
Ge1 0.0000 0.0000 0.5000
Ge2 0.3333 0.6667 0.2317

=====

No. 2
Computed, not measured: a relaxed SrUIn crystal at the PBE-GGA level of DFT.

Summary:
final energy: -4.473 eV/atom
theoretical density: 6.471 g/cm³

Unit cell a=7.675 b=7.675 c=7.675 alpha=90.00 beta=90.00 gamma=90.00
Space group F-43m (No. 216)
Unique sites:
Sr1 0.000 0.000 0.000
U1 0.000 0.000 0.500
In1 0.250 0.250 0.250

=====

No. 3
Computed, not measured: a relaxed Al2Ni3 crystal at the PBE-GGA level of DFT.

Summary:
final energy: -5.154 eV/atom
theoretical density: 6.367 g/cm³

Unit cell a=8.659 b=8.659 c=4.801 alpha=90.00 beta=90.00 gamma=90.00
Space group P4_2/mnm (No. 136)
Unique sites:
Al1 0.106 0.106 0.000
Al2 0.186 0.814 0.251
Ni1 0.000 0.000 0.500
Ni2 0.037 0.364 0.000
Ni3 0.064 0.268 0.500

=====

No. 4
Computed, not measured: a relaxed CdGa2Bi crystal at the PBE-GGA level of DFT.

Summary:
final energy: -2.649 eV/atom
theoretical density: 7.951 g/cm³

Unit cell a=7.275 b=7.275 c=7.275 alpha=90.00 beta=90.00 gamma=90.00
Space group F-43m (No. 216)
Unique sites:
Cd1 0.000 0.000 0.000
Ga1 0.000 0.000 0.500
Ga2 0.250 0.250 0.250
Bi1 0.250 0.250 0.750

=====

No. 5
Computed, not measured: a relaxed BaBiAu2 crystal at the PBE-GGA level of DFT.

Summary:
final energy: -3.382 eV/atom
theoretical density: 11.205 g/cm³

Unit cell a=7.599 b=7.599 c=7.599 alpha=90.00 beta=90.00 gamma=90.00
Space group F-43m (No. 216)
Unique sites:
Ba1 0.000 0.000 0.000
Bi1 0.250 0.250 0.750
Au1 0.000 0.000 0.500
Au2 0.250 0.250 0.250

=====

No. 6
Computed, not measured: a relaxed Ba2TcAgH6 crystal at the PBE-GGA level of DFT.

Summary:
final energy: -3.985 eV/atom
theoretical density: 6.250 g/cm³

Unit cell a=8.026 b=8.026 c=8.026 alpha=90.00 beta=90.00 gamma=90.00
Space group Fm-3m (No. 225)
Unique sites:
Ba1 0.250 0.250 0.250
Tc1 0.000 0.000 0.000
Ag1 0.000 0.000 0.500
H1 0.000 0.000 0.232